P.
Entry from Alexandria via LeMat-Bulk: an optimized crystal structure of LaNdTh (GGA-PBE).

a = 3.519 Å, b = 8.923 Å, c = 6.607 Å
α = 90.00°, β = 90.00°, γ = 90.00°
Fractional positions:
1 Nd 0.000 0.500 0.500
2 Th 0.000 0.153 0.750
3 La 0.500 0.825 0.750
4 Th 0.000 0.847 0.250
5 La 0.500 0.175 0.250
6 Nd 0.000 0.500 0.000

Summary:
Symmetry: Pmma
Total magnetization: 0.0 μB/f.u.

---

Q.
Entry from Alexandria via LeMat-Bulk: an optimized crystal structure of LaNdTh (GGA-PBE).

a = 4.273 Å, b = 4.273 Å, c = 11.629 Å
α = 90.00°, β = 90.00°, γ = 90.00°
Fractional positions:
1 La 0.318 0.318 0.153
2 Nd 0.318 0.318 0.529
3 Th 0.818 0.818 0.680
4 Th 0.318 0.318 0.822
5 Nd 0.818 0.818 0.974
6 La 0.818 0.818 0.350

Summary:
Symmetry: P4/nmm
Total magnetization: 0.0 μB/f.u.

---

Which of them is the least stable? Correct choice: P.

---

P.
Entry from Alexandria via LeMat-Bulk: an optimized crystal structure of LaNdTh (GGA-PBE).

a = 3.642 Å, b = 3.642 Å, c = 18.069 Å
α = 90.00°, β = 90.00°, γ = 120.00°
Fractional positions:
1 Th 0.667 0.333 0.578
2 La 0.667 0.333 0.084
3 Nd 0.000 0.000 0.741
4 Th 0.333 0.667 0.422
5 Nd 0.000 0.000 0.259
6 La 0.333 0.667 0.916

Summary:
Symmetry: P-3m1
Total magnetization: 0.0 μB/f.u.

---

Q.
Entry from Alexandria via LeMat-Bulk: an optimized crystal structure of LaNdTh (GGA-PBE).

a = 3.531 Å, b = 5.832 Å, c = 5.832 Å
α = 120.00°, β = 90.00°, γ = 90.00°
Fractional positions:
1 Th 0.167 0.333 0.667
2 La 0.166 0.000 0.000
3 Nd 0.667 0.667 0.333

Summary:
Symmetry: P-6m2
Total magnetization: 0.0 μB/f.u.

---

Which of them is the least stable? Correct choice: Q.

---

P.
Entry from Alexandria via LeMat-Bulk: an optimized crystal structure of La3Nd4Th2 (GGA-PBE).

a = 3.632 Å, b = 3.632 Å, c = 27.771 Å
α = 90.00°, β = 90.00°, γ = 120.00°
Fractional positions:
1 Nd 0.667 0.333 0.434
2 La 0.667 0.333 0.654
3 La 0.000 0.000 0.982
4 Th 0.667 0.333 0.091
5 Nd 0.000 0.000 0.542
6 La 0.000 0.000 0.320
7 Nd 0.000 0.000 0.767
8 Nd 0.667 0.333 0.212
9 Th 0.667 0.333 0.873

Summary:
Symmetry: P3m1
Total magnetization: 0.0 μB/f.u.

---

Q.
Entry from Alexandria via LeMat-Bulk: an optimized crystal structure of La3Nd4Th2 (GGA-PBE).

a = 7.352 Å, b = 8.213 Å, c = 13.192 Å
α = 86.38°, β = 123.39°, γ = 76.88°
Fractional positions:
1 Th 0.536 0.836 0.612
2 Th 0.928 0.495 0.172
3 Nd 0.417 0.494 0.167
4 La 0.257 0.499 0.497
5 Nd 0.583 0.506 0.833
6 Nd 0.862 0.821 0.943
7 La 0.743 0.501 0.503
8 Nd 0.020 0.834 0.609
9 La 0.629 0.182 0.051
10 La 0.193 0.837 0.279
11 Th 0.072 0.505 0.828
12 La 0.807 0.163 0.721
13 Nd 0.694 0.835 0.277
14 La 0.371 0.818 0.949
15 Nd 0.980 0.166 0.391
16 Nd 0.306 0.165 0.723
17 Th 0.464 0.164 0.388
18 Nd 0.138 0.179 0.057

Summary:
Symmetry: P-1
Total magnetization: 0.0 μB/f.u.

---

Which of them is the least stable? Correct choice: P.